Entry 1
Nd3Y5Tm4 | PBE-GGA | relaxed

* total moment: 0.00 μB per formula unit
* mass density: 6.68 g/cm³

Unit cell a=6.182 b=7.141 c=8.742 alpha=90.01 beta=90.09 gamma=90.19
Space group P-1 (No. 2)
Asymmetric unit:
Nd 0.000 0.000 0.000 (multiplicity 1)
Nd 0.165 0.748 0.666 (multiplicity 2)
Y 0.000 0.500 0.000 (multiplicity 1)
Y 0.333 0.000 0.334 (multiplicity 2)
Y 0.499 0.252 0.000 (multiplicity 2)
Tm 0.168 0.252 0.666 (multiplicity 2)
Tm 0.334 0.500 0.335 (multiplicity 2)

Entry 2
Nd3Y5Tm4 | PBE-GGA | relaxed

* total moment: 0.37 μB per formula unit
* mass density: 6.52 g/cm³

Unit cell a=17.721 b=5.700 c=8.737 alpha=90.00 beta=116.38 gamma=90.00
Space group C2/m (No. 12)
Asymmetric unit:
Nd 0.000 0.000 0.000 (multiplicity 2)
Nd 0.185 0.500 0.228 (multiplicity 4)
Y 0.000 0.500 0.000 (multiplicity 2)
Y 0.094 0.000 0.438 (multiplicity 4)
Y 0.163 0.000 0.895 (multiplicity 4)
Tm 0.039 0.500 0.697 (multiplicity 4)
Tm 0.210 0.500 0.644 (multiplicity 4)

Energies, relative to the best one, in kJ/mol of atoms: entry 1 0.0; entry 2 23.7.

Entry 1
Nd4Y6Tm | PBE-GGA | relaxed

* total moment: 0.00 μB per formula unit
* mass density: 5.63 g/cm³

Unit cell a=11.0144 b=11.0144 c=3.5941 alpha=90.00 beta=90.00 gamma=120.00
Space group P-6m2 (No. 187)
Asymmetric unit:
Nd 0.0000 0.0000 0.0000 (multiplicity 1)
Nd 0.5074 0.0149 0.5000 (multiplicity 3)
Y 0.1851 0.3703 0.0000 (multiplicity 3)
Y 0.3027 0.1514 0.5000 (multiplicity 3)
Tm 0.6667 0.3333 0.0000 (multiplicity 1)

Entry 2
Nd4Y6Tm | PBE-GGA | relaxed

* total moment: 0.00 μB per formula unit
* mass density: 5.80 g/cm³

Unit cell a=5.785 b=9.748 c=25.994 alpha=90.00 beta=90.00 gamma=90.00
Space group Cmcm (No. 63)
Asymmetric unit:
Nd 0.000 0.030 0.122 (multiplicity 8)
Nd 0.000 0.344 0.045 (multiplicity 8)
Y 0.000 0.000 0.000 (multiplicity 4)
Y 0.000 0.018 0.250 (multiplicity 4)
Y 0.000 0.310 0.607 (multiplicity 8)
Y 0.000 0.355 0.183 (multiplicity 8)
Tm 0.000 0.316 0.750 (multiplicity 4)

Energies, relative to the best one, in kJ/mol of atoms: entry 1 4.2; entry 2 0.0.

Entry 1
Nd2Y3Tm6 | PBE-GGA | relaxed

* total moment: 0.00 μB per formula unit
* mass density: 7.11 g/cm³

Unit cell a=4.721 b=4.721 c=32.865 alpha=90.00 beta=90.00 gamma=90.00
Space group I4/mmm (No. 139)
Asymmetric unit:
Nd 0.000 0.000 0.046 (multiplicity 4)
Y 0.000 0.000 0.296 (multiplicity 4)
Y 0.000 0.000 0.500 (multiplicity 2)
Tm 0.000 0.000 0.192 (multiplicity 4)
Tm 0.000 0.500 0.122 (multiplicity 8)

Entry 2
Nd2Y3Tm6 | PBE-GGA | relaxed

* total moment: 0.00 μB per formula unit
* mass density: 7.08 g/cm³

Unit cell a=6.084 b=10.550 c=11.639 alpha=90.00 beta=100.09 gamma=90.00
Space group C2/m (No. 12)
Asymmetric unit:
Nd 0.000 0.167 0.000 (multiplicity 4)
Y 0.000 0.000 0.500 (multiplicity 2)
Y 0.000 0.335 0.500 (multiplicity 4)
Tm 0.249 0.167 0.748 (multiplicity 8)
Tm 0.250 0.000 0.252 (multiplicity 4)

Energies, relative to the best one, in kJ/mol of atoms: entry 1 6.5; entry 2 0.0.

Entry 1
Nd7YTm4 | PBE-GGA | relaxed

* total moment: 0.23 μB per formula unit
* mass density: 7.22 g/cm³

Unit cell a=16.136 b=5.993 c=9.492 alpha=90.00 beta=117.31 gamma=90.00
Space group C2/m (No. 12)
Asymmetric unit:
Nd 0.000 0.000 0.000 (multiplicity 2)
Nd 0.089 0.500 0.456 (multiplicity 4)
Nd 0.214 0.500 0.890 (multiplicity 4)
Nd 0.220 0.500 0.252 (multiplicity 4)
Y 0.000 0.500 0.000 (multiplicity 2)
Tm 0.067 0.000 0.701 (multiplicity 4)
Tm 0.167 0.000 0.370 (multiplicity 4)

Entry 2
Nd7YTm4 | PBE-GGA | relaxed

* total moment: 0.00 μB per formula unit
* mass density: 7.37 g/cm³

Unit cell a=6.310 b=7.275 c=8.962 alpha=89.97 beta=76.46 gamma=89.96
Space group P-1 (No. 2)
Asymmetric unit:
Nd 0.000 0.000 0.000 (multiplicity 1)
Nd 0.223 0.500 0.335 (multiplicity 2)
Nd 0.281 0.751 0.664 (multiplicity 2)
Nd 0.499 0.246 0.998 (multiplicity 2)
Y 0.000 0.500 0.000 (multiplicity 1)
Tm 0.219 0.000 0.336 (multiplicity 2)
Tm 0.277 0.245 0.666 (multiplicity 2)

Energies, relative to the best one, in kJ/mol of atoms: entry 1 20.5; entry 2 0.0.

Entry 1
NdY2Tm6 | PBE-GGA | relaxed

* total moment: 1.95 μB per formula unit
* mass density: 6.39 g/cm³

Unit cell a=3.5688 b=3.5688 c=31.4530 alpha=90.00 beta=90.00 gamma=120.00
Space group P-6m2 (No. 187)
Asymmetric unit:
Nd 0.0000 0.0000 0.0000 (multiplicity 1)
Y 0.3333 0.6667 0.2702 (multiplicity 2)
Tm 0.0000 0.0000 0.1796 (multiplicity 2)
Tm 0.0000 0.0000 0.3581 (multiplicity 2)
Tm 0.3333 0.6667 0.0924 (multiplicity 2)

Entry 2
NdY2Tm6 | PBE-GGA | relaxed

* total moment: 0.00 μB per formula unit
* mass density: 7.93 g/cm³

Unit cell a=10.579 b=10.579 c=4.999 alpha=90.00 beta=90.00 gamma=90.00
Space group P4_2/mnm (No. 136)
Asymmetric unit:
Nd 0.000 0.000 0.000 (multiplicity 2)
Y 0.168 0.168 0.500 (multiplicity 4)
Tm 0.001 0.335 0.000 (multiplicity 8)
Tm 0.168 0.832 0.500 (multiplicity 4)

Energies, relative to the best one, in kJ/mol of atoms: entry 1 14.0; entry 2 0.0.

Entry 1
Nd3Y4Tm4 | PBE-GGA | relaxed

* total moment: 0.00 μB per formula unit
* mass density: 6.87 g/cm³

Unit cell a=39.650 b=3.576 c=5.036 alpha=90.00 beta=97.29 gamma=90.00
Space group C2/m (No. 12)
Asymmetric unit:
Nd 0.000 0.000 0.000 (multiplicity 2)
Nd 0.137 0.500 0.636 (multiplicity 4)
Y 0.046 0.500 0.546 (multiplicity 4)
Y 0.183 0.000 0.183 (multiplicity 4)
Tm 0.091 0.000 0.091 (multiplicity 4)
Tm 0.228 0.500 0.728 (multiplicity 4)

Entry 2
Nd3Y4Tm4 | PBE-GGA | relaxed

* total moment: 0.00 μB per formula unit
* mass density: 6.68 g/cm³

Unit cell a=10.583 b=5.703 c=12.051 alpha=90.00 beta=90.00 gamma=90.00
Space group Amm2 (No. 38)
Asymmetric unit:
Nd 0.000 0.000 0.000 (multiplicity 2)
Nd 0.288 0.000 0.155 (multiplicity 4)
Y 0.000 0.000 0.705 (multiplicity 2)
Y 0.212 0.000 0.494 (multiplicity 4)
Y 0.500 0.000 0.632 (multiplicity 2)
Tm 0.000 0.000 0.299 (multiplicity 2)
Tm 0.301 0.000 0.850 (multiplicity 4)
Tm 0.500 0.000 0.359 (multiplicity 2)

Energies, relative to the best one, in kJ/mol of atoms: entry 1 0.0; entry 2 13.3.